[1]
DFT (PBE) results for La5CeTl3 after structural relaxation.

## Properties
Electronic total energy ... -80.3 eV per cell

Geometry as CIF:
```
data_La5CeTl3
_chemical_formula_sum 'La10 Ce2 Tl6'
_cell_length_a 9.8027
_cell_length_b 9.8027
_cell_length_c 7.0147
_cell_angle_alpha 90.00
_cell_angle_beta 90.00
_cell_angle_gamma 120.00
_space_group_name_H-M_alt 'P 63/m c m'
_space_group_IT_number 193
_space_group_name_Hall '-P 6c 2'
loop_
_atom_site_label
_atom_site_fract_x
_atom_site_fract_y
_atom_site_fract_z
La1 0.0000 0.3257 0.2500
La2 0.3333 0.6667 0.0000
Ce1 0.0000 0.0000 0.0000
Tl1 0.0000 0.3371 0.7500
```



[2]
DFT (PBE) results for HfReBRh2 after structural relaxation.

## Properties
Electronic total energy ... -46.3 eV per cell

Geometry as CIF:
```
data_HfReBRh2
_chemical_formula_sum 'Hf1 Re1 B1 Rh2'
_cell_length_a 4.100
_cell_length_b 4.100
_cell_length_c 4.245
_cell_angle_alpha 90.00
_cell_angle_beta 90.00
_cell_angle_gamma 90.00
_space_group_name_H-M_alt 'P 4/m m m'
_space_group_IT_number 123
_space_group_name_Hall '-P 4 2'
loop_
_atom_site_label
_atom_site_fract_x
_atom_site_fract_y
_atom_site_fract_z
Hf1 0.000 0.000 0.000
Re1 0.500 0.500 0.000
B1 0.500 0.500 0.500
Rh1 0.000 0.500 0.500
```